No. 1
The following is a DFT calculation (GGA-PBE) of an optimized crystal structure of BaLi2CdNi.

N(E_F)	3.13	states/eV/f.u.
ΔH_f (0 K)	0.12	eV per formula unit

Unit cell a=5.011 b=5.011 c=5.099 alpha=90.00 beta=90.00 gamma=90.00
Fractional coordinates of all 5 atoms:
1 Ba 0.000 0.000 0.000
2 Li 0.000 0.500 0.500
3 Li 0.500 0.000 0.500
4 Cd 0.500 0.500 0.000
5 Ni 0.500 0.500 0.500

=====

No. 2
The following is a DFT calculation (GGA-PBE) of an optimized crystal structure of PrHoZnNi.

N(E_F)	3.47	states/eV/f.u.
ΔH_f (0 K)	-1.09	eV per formula unit

Unit cell a=7.087 b=7.087 c=7.087 alpha=90.00 beta=90.00 gamma=90.00
Fractional coordinates of all 16 atoms:
1 Pr 0.000 0.000 0.000
2 Pr 0.000 0.500 0.500
3 Pr 0.500 0.000 0.500
4 Pr 0.500 0.500 0.000
5 Ho 0.000 0.000 0.500
6 Ho 0.000 0.500 0.000
7 Ho 0.500 0.000 0.000
8 Ho 0.500 0.500 0.500
9 Zn 0.250 0.250 0.250
10 Zn 0.250 0.750 0.750
11 Zn 0.750 0.250 0.750
12 Zn 0.750 0.750 0.250
13 Ni 0.250 0.250 0.750
14 Ni 0.250 0.750 0.250
15 Ni 0.750 0.250 0.250
16 Ni 0.750 0.750 0.750

=====

No. 3
The following is a DFT calculation (GGA-PBE) of an optimized crystal structure of NdTm2As3.

N(E_F)	0.87	states/eV/f.u.
ΔH_f (0 K)	-8.94	eV per formula unit

Unit cell a=4.136 b=5.860 c=12.396 alpha=90.00 beta=90.00 gamma=90.00
Fractional coordinates of all 12 atoms:
1 Nd 0.000 0.000 0.000
2 Nd 0.500 0.500 0.500
3 Tm 0.000 0.000 0.335
4 Tm 0.000 0.000 0.665
5 Tm 0.500 0.500 0.165
6 Tm 0.500 0.500 0.835
7 As 0.000 0.500 0.000
8 As 0.000 0.500 0.326
9 As 0.000 0.500 0.674
10 As 0.500 0.000 0.174
11 As 0.500 0.000 0.500
12 As 0.500 0.000 0.826

=====

No. 4
The following is a DFT calculation (GGA-PBE) of an optimized crystal structure of LaRe2HgSb.

N(E_F)	5.16	states/eV/f.u.
uncorrected formation energy	1.32	eV/atom

Unit cell a=4.989 b=4.989 c=5.355 alpha=90.00 beta=90.00 gamma=90.00
Fractional coordinates of all 5 atoms:
1 La 0.000 0.000 0.000
2 Re 0.000 0.500 0.500
3 Re 0.500 0.000 0.500
4 Hg 0.500 0.500 0.000
5 Sb 0.500 0.500 0.500

=====

No. 5
The following is a DFT calculation (GGA-PBE) of an optimized crystal structure of BaSrLi5.

N(E_F)	5.48	states/eV/f.u.
ΔH_f (0 K)	0.14	eV per formula unit

Unit cell a=10.630 b=6.348 c=13.181 alpha=90.00 beta=90.00 gamma=90.00
Fractional coordinates of all 28 atoms:
1 Ba 0.248 0.250 0.064
2 Ba 0.252 0.750 0.564
3 Ba 0.748 0.250 0.436
4 Ba 0.752 0.750 0.936
5 Sr 0.133 0.750 0.870
6 Sr 0.367 0.250 0.370
7 Sr 0.633 0.750 0.630
8 Sr 0.867 0.250 0.130
9 Li 0.043 0.750 0.126
10 Li 0.066 0.506 0.321
11 Li 0.066 0.994 0.321
12 Li 0.073 0.250 0.518
13 Li 0.194 0.250 0.732
14 Li 0.306 0.750 0.232
15 Li 0.427 0.750 0.018
16 Li 0.434 0.006 0.821
17 Li 0.434 0.494 0.821
18 Li 0.457 0.250 0.626
19 Li 0.543 0.750 0.374
20 Li 0.566 0.506 0.179
21 Li 0.566 0.994 0.179
22 Li 0.573 0.250 0.982
23 Li 0.694 0.250 0.768
24 Li 0.806 0.750 0.268
25 Li 0.927 0.750 0.482
26 Li 0.934 0.006 0.679
27 Li 0.934 0.494 0.679
28 Li 0.957 0.250 0.874

=====

No. 6
The following is a DFT calculation (GGA-PBE) of an optimized crystal structure of CaInGe2.

N(E_F)	3.38	states/eV/f.u.
ΔH_f (0 K)	-0.41	eV per formula unit

Unit cell a=7.960 b=7.960 c=6.261 alpha=90.00 beta=90.00 gamma=90.00
Fractional coordinates of all 16 atoms:
1 Ca 0.000 0.000 0.000
2 Ca 0.000 0.500 0.250
3 Ca 0.500 0.000 0.750
4 Ca 0.500 0.500 0.500
5 In 0.000 0.000 0.500
6 In 0.000 0.500 0.750
7 In 0.500 0.000 0.250
8 In 0.500 0.500 0.000
9 Ge 0.216 0.250 0.625
10 Ge 0.250 0.716 0.875
11 Ge 0.250 0.784 0.375
12 Ge 0.284 0.250 0.125
13 Ge 0.716 0.750 0.125
14 Ge 0.750 0.216 0.375
15 Ge 0.750 0.284 0.875
16 Ge 0.784 0.750 0.625